P) ZrV2Rh2: relaxed, PBE.

```
ZrV2Rh2
1.0
7.442 0.000 0.000
0.000 7.442 0.000
0.000 0.000 2.792
Zr V Rh
2 4 4
Cartesian
0.000 0.000 0.000
3.721 3.721 0.000
1.126 2.596 0.000
2.596 6.317 0.000
4.847 1.126 0.000
6.317 4.847 0.000
1.084 4.805 1.396
2.637 1.084 1.396
4.805 6.358 1.396
6.358 2.637 1.396
```

* SG: No. 127

---

Q) ZrV2Rh2: relaxed, PBE.

```
ZrV2Rh2
1.0
7.468 0.000 0.000
0.000 7.468 0.000
0.000 0.000 2.807
Zr V Rh
2 4 4
Cartesian
0.000 0.000 0.000
3.734 3.734 0.000
1.207 2.527 1.404
2.527 6.260 1.404
4.941 1.207 1.404
6.260 4.941 1.404
0.992 4.726 0.000
2.741 0.992 0.000
4.726 6.475 0.000
6.475 2.741 0.000
```

* SG: No. 127

---

Tell me which of them is the most stable. Sure, it is P).

---

P) ZrV2Rh: relaxed, PBE.

```
ZrV2Rh
1.0
7.182 0.000 0.000
0.000 7.182 0.000
0.000 0.000 5.287
Zr V Rh
4 8 4
Cartesian
0.000 0.000 0.000
0.000 3.591 1.322
3.591 0.000 3.965
3.591 3.591 2.644
1.550 1.795 3.305
1.795 5.140 4.626
1.795 5.632 1.983
2.041 1.795 0.661
5.140 5.386 0.661
5.386 1.550 1.983
5.386 2.041 4.626
5.632 5.386 3.305
0.000 0.000 2.644
0.000 3.591 3.965
3.591 0.000 1.322
3.591 3.591 0.000
```

* SG: No. 122

---

Q) ZrV2Rh: relaxed, PBE.

```
ZrV2Rh
1.0
6.257 0.000 0.000
0.000 6.257 0.000
0.000 0.000 6.257
Zr V Rh
4 8 4
Cartesian
0.000 0.000 0.000
0.000 3.128 3.128
3.128 0.000 3.128
3.128 3.128 0.000
1.564 1.564 1.564
1.564 1.564 4.692
1.564 4.692 1.564
1.564 4.692 4.692
4.692 1.564 1.564
4.692 1.564 4.692
4.692 4.692 1.564
4.692 4.692 4.692
0.000 0.000 3.128
0.000 3.128 0.000
3.128 0.000 0.000
3.128 3.128 3.128
```

* SG: No. 225

---

Tell me which of them is the most stable. Sure, it is Q).

---

P) RhW2: relaxed, PBE.

```
RhW2
1.0
2.748 0.000 0.000
0.000 2.748 0.000
0.000 0.000 25.364
Rh W
4 8
Cartesian
0.000 0.687 9.511
0.000 2.061 15.852
1.374 0.687 3.170
1.374 2.061 22.193
0.000 0.687 20.224
0.000 0.687 24.163
0.000 2.061 1.201
0.000 2.061 5.140
1.374 0.687 13.883
1.374 0.687 17.822
1.374 2.061 7.542
1.374 2.061 11.481
```

* SG: No. 141

---

Q) RhW2: relaxed, PBE.

```
RhW2
1.0
2.709 0.000 0.000
0.000 4.028 0.000
0.000 0.000 18.759
Rh W
4 8
Cartesian
0.000 1.007 2.232
0.000 3.021 16.526
1.354 1.007 7.147
1.354 3.021 11.612
0.000 1.007 10.169
0.000 1.007 12.870
0.000 3.021 5.888
0.000 3.021 8.590
1.354 1.007 15.268
1.354 1.007 17.969
1.354 3.021 0.790
1.354 3.021 3.491
```

* SG: No. 74

---

R) RhW2: relaxed, PBE.

```
RhW2
1.0
3.260 0.000 0.000
0.000 3.260 0.000
0.000 0.000 8.937
Rh W
2 4
Cartesian
0.000 0.000 0.000
1.630 1.630 4.468
0.000 0.000 2.919
0.000 0.000 6.018
1.630 1.630 1.550
1.630 1.630 7.387
```

* SG: No. 139

---

S) RhW2: relaxed, PBE.

```
RhW2
1.0
-1.952 1.952 12.205
1.952 -1.952 12.205
1.952 1.952 -12.205
Rh W
4 8
Cartesian
1.952 0.976 0.950
1.952 0.976 5.153
0.000 0.976 7.052
0.000 0.976 11.255
1.952 -0.976 7.067
1.952 0.976 -3.090
1.952 -0.976 11.239
0.000 0.976 3.012
1.952 0.976 9.192
0.000 2.928 0.965
0.000 0.976 15.295
0.000 2.928 5.137
```

* SG: No. 141

---

Tell me which of them is the most stable. Sure, it is S).

---

P) Rh5W: relaxed, PBE.

```
Rh5W
1.0
2.749 0.000 0.000
0.000 2.749 0.000
0.000 0.000 11.531
Rh W
5 1
Cartesian
0.000 0.000 0.000
0.000 0.000 3.871
0.000 0.000 7.660
1.375 1.375 1.866
1.375 1.375 9.665
1.375 1.375 5.765
```

* SG: No. 123

---

Q) Rh5W: relaxed, PBE.

```
Rh5W
1.0
4.768 0.000 0.000
-2.384 4.129 0.000
0.000 0.000 4.382
Rh W
5 1
Cartesian
-1.585 2.745 0.000
0.000 2.753 2.191
0.799 1.384 0.000
3.170 0.000 0.000
2.384 1.376 2.191
0.000 0.000 2.191
```

* SG: No. 189

---

Tell me which of them is the most stable. Sure, it is Q).

---

P) Rh5W: relaxed, PBE.

```
Rh5W
1.0
4.998 0.000 0.000
-2.499 4.328 0.000
0.000 0.000 4.368
Rh W
5 1
Cartesian
-1.250 2.164 0.000
0.000 2.886 2.184
2.499 0.000 0.000
1.250 2.164 0.000
2.499 1.443 2.184
0.000 0.000 2.184
```

* SG: No. 191

---

Q) Rh5W: relaxed, PBE.

```
Rh5W
1.0
4.402 0.000 0.000
0.000 2.759 0.000
0.000 0.000 14.261
Rh W
10 2
Cartesian
0.000 0.000 0.000
0.000 0.000 4.681
0.000 1.380 7.130
0.000 1.380 11.811
2.201 0.000 3.127
2.201 0.000 7.876
2.201 0.000 12.637
2.201 1.380 0.746
2.201 1.380 5.507
2.201 1.380 10.257
0.000 0.000 9.432
0.000 1.380 2.302
```

* SG: No. 38

---

Tell me which of them is the most stable. Sure, it is Q).

---

P) Rh5W: relaxed, PBE.

```
Rh5W
1.0
10.077 0.000 0.000
0.000 2.758 0.000
-1.611 0.000 6.249
Rh W
10 2
Cartesian
0.000 0.000 0.000
-0.419 0.000 3.744
1.197 1.379 2.055
0.767 1.379 5.907
2.328 0.000 4.142
5.039 1.379 0.000
4.620 1.379 3.744
6.235 0.000 2.055
5.806 0.000 5.907
7.367 1.379 4.142
3.494 0.000 1.727
8.533 1.379 1.727
```

* SG: No. 8

---

Q) Rh5W: relaxed, PBE.

```
Rh5W
1.0
0.000 3.560 3.560
3.560 0.000 3.560
3.560 3.560 0.000
Rh W
5 1
Cartesian
0.000 0.000 0.000
2.668 2.668 2.668
4.452 4.452 2.668
4.452 2.668 4.452
2.668 4.452 4.452
5.340 5.340 5.340
```

* SG: No. 216

---

R) Rh5W: relaxed, PBE.

```
Rh5W
1.0
3.871 0.000 0.000
0.000 11.489 0.000
0.000 0.000 3.892
Rh W
10 2
Cartesian
0.000 0.000 0.000
0.000 1.841 1.946
0.000 3.847 0.000
0.000 7.641 0.000
0.000 9.648 1.946
1.935 1.897 0.000
1.935 3.904 1.946
1.935 5.744 0.000
1.935 7.585 1.946
1.935 9.592 0.000
0.000 5.744 1.946
1.935 0.000 1.946
```

* SG: No. 65

---

Tell me which of them is the most stable. Sure, it is R).

---

P) Rh3W5: relaxed, PBE.

```
Rh3W5
1.0
2.504 -6.820 0.000
2.504 6.820 0.000
-2.085 0.000 7.349
Rh W
6 10
Cartesian
2.504 4.363 0.000
1.461 3.197 3.675
0.647 0.000 4.708
2.276 0.000 2.641
1.461 -3.197 3.675
2.504 -4.363 0.000
-0.147 1.339 2.467
-0.147 -1.339 2.467
0.389 2.316 5.848
-0.828 0.000 7.301
2.534 2.316 1.501
0.389 -2.316 5.848
3.750 0.000 0.048
2.534 -2.316 1.501
3.069 1.339 4.882
3.069 -1.339 4.882
```

* SG: No. 12

---

Q) Rh3W5: relaxed, PBE.

```
Rh3W5
1.0
7.688 0.000 0.000
-3.844 6.658 0.000
0.000 0.000 4.948
Rh W
6 10
Cartesian
-1.586 2.747 1.237
-2.258 3.911 3.711
3.171 0.000 1.237
1.586 2.747 3.711
4.516 0.000 3.711
2.258 3.911 1.237
-0.817 1.415 3.711
-3.027 5.243 1.237
1.634 0.000 3.711
0.817 1.415 1.237
0.000 4.438 0.000
0.000 4.438 2.474
3.844 2.219 0.000
3.844 2.219 2.474
6.054 0.000 1.237
3.027 5.243 3.711
```

* SG: No. 193

---

R) Rh3W5: relaxed, PBE.

```
Rh3W5
1.0
7.858 0.000 0.000
0.000 7.980 0.000
0.000 0.000 3.919
Rh W
6 10
Cartesian
0.000 0.000 0.000
1.955 0.000 1.959
1.974 3.990 1.959
3.929 3.990 0.000
5.884 3.990 1.959
5.903 0.000 1.959
0.000 1.938 1.959
0.000 3.990 0.000
0.000 6.042 1.959
1.965 1.995 0.000
1.965 5.985 0.000
3.929 0.000 0.000
3.929 2.052 1.959
3.929 5.928 1.959
5.894 1.995 0.000
5.894 5.985 0.000
```

* SG: No. 65

---

Tell me which of them is the most stable. Sure, it is R).

---

P) Rh4W5: relaxed, PBE.

```
Rh4W5
1.0
7.640 0.000 0.000
-3.820 6.617 0.000
0.000 0.000 5.476
Rh W
8 10
Cartesian
0.000 0.000 0.000
0.000 0.000 2.738
-1.245 2.156 1.369
-2.575 4.461 4.107
2.490 0.000 1.369
1.245 2.156 4.107
5.151 0.000 4.107
2.575 4.461 1.369
-1.307 2.264 4.107
-2.513 4.353 1.369
0.000 4.411 0.000
0.000 4.411 2.738
2.614 0.000 4.107
1.307 2.264 1.369
5.026 0.000 1.369
2.513 4.353 4.107
3.820 2.206 0.000
3.820 2.206 2.738
```

* SG: No. 193

---

Q) Rh4W5: relaxed, PBE.

```
Rh4W5
1.0
-4.173 4.173 1.976
4.173 -4.173 1.976
4.173 4.173 -1.976
Rh W
4 5
Cartesian
2.761 0.000 0.000
5.584 0.000 0.000
0.000 2.761 0.000
0.000 5.584 0.000
0.000 0.000 0.000
2.753 2.753 0.000
1.419 -1.419 1.976
-1.419 1.419 1.976
1.419 1.419 1.976
```

* SG: No. 139

---

Tell me which of them is the most stable. Sure, it is Q).

---

P) YRh2W: relaxed, PBE.

```
YRh2W
1.0
6.541 0.000 0.000
0.000 6.541 0.000
0.000 0.000 6.541
Y Rh W
4 8 4
Cartesian
0.000 0.000 0.000
0.000 3.271 3.271
3.271 0.000 3.271
3.271 3.271 0.000
1.635 1.635 1.635
1.635 1.635 4.906
1.635 4.906 1.635
1.635 4.906 4.906
4.906 1.635 1.635
4.906 1.635 4.906
4.906 4.906 1.635
4.906 4.906 4.906
0.000 0.000 3.271
0.000 3.271 0.000
3.271 0.000 0.000
3.271 3.271 3.271
```

* SG: No. 225

---

Q) YRh2W: relaxed, PBE.

```
YRh2W
1.0
3.338 0.000 0.000
0.000 3.338 0.000
0.000 0.000 6.509
Y Rh W
1 2 1
Cartesian
0.000 0.000 0.000
0.000 0.000 3.264
1.669 1.669 1.639
1.669 1.669 4.332
```

* SG: No. 99

---

R) YRh2W: relaxed, PBE.

```
YRh2W
1.0
3.953 0.000 0.000
0.000 3.953 0.000
0.000 0.000 8.900
Y Rh W
2 4 2
Cartesian
0.000 0.000 0.000
1.976 1.976 4.450
0.000 0.000 4.450
0.000 1.976 6.675
1.976 0.000 2.225
1.976 1.976 0.000
0.000 1.976 2.225
1.976 0.000 6.675
```

* SG: No. 119

---

Tell me which of them is the most stable. Sure, it is P).